(1)
Compound: Hf6Zr12Sc
Source: Alexandria
Functional: PBE
Structure: optimized geometry

Lattice parameters (Å, degrees): 8.276 6.272 11.410 123.49 114.42 67.65
Sites, in units of the cell vectors:
Zr1 0.463 0.259 0.493
Zr2 0.046 0.332 0.355
Zr3 0.299 0.315 0.207
Zr4 0.887 0.147 0.590
Zr5 0.895 0.649 0.096
Zr6 0.545 0.239 0.009
Zr7 0.105 0.351 0.904
Zr8 0.537 0.741 0.507
Zr9 0.455 0.761 0.991
Zr10 0.954 0.668 0.645
Zr11 0.701 0.685 0.793
Zr12 0.113 0.853 0.410
Hf1 0.301 0.824 0.708
Hf2 0.301 0.290 0.709
Hf3 0.702 0.205 0.793
Hf4 0.298 0.795 0.207
Hf5 0.699 0.176 0.292
Hf6 0.699 0.710 0.291
Sc1 0.000 0.000 0.000

magnetization: 0.000 μB/f.u.
energy relative to the elements: 1.4 eV per formula unit
E: -8.80 eV per atom


(2)
Compound: Mg2Te
Source: Alexandria
Functional: PBE
Structure: optimized geometry

Lattice parameters (Å, degrees): 8.130 8.130 4.667 90.00 90.00 150.54
Sites, in units of the cell vectors:
Te1 0.365 0.635 0.000
Te2 0.635 0.365 0.000
Mg1 0.169 0.831 0.500
Mg2 0.500 0.500 0.500
Mg3 0.000 0.000 0.000
Mg4 0.831 0.169 0.500

magnetization: 0.000 μB/f.u.
E: -2.41 eV per atom
formation energy (no corrections): -0.302 eV/atom


(3)
Compound: NaAgHg2C
Source: Alexandria
Functional: PBE
Structure: optimized geometry

Lattice parameters (Å, degrees): 5.715 5.539 5.715 90.00 90.00 90.00
Sites, in units of the cell vectors:
Ag1 0.000 0.500 0.000
C1 0.500 0.500 0.500
Na1 0.000 0.000 0.000
Hg1 0.000 0.000 0.500
Hg2 0.500 0.000 0.000

magnetization: 2.125 μB/f.u.
energy relative to the elements: 8.5 eV per formula unit
E: -1.10 eV per atom


(4)
Compound: Tm2GeCl
Source: Alexandria
Functional: PBE
Structure: optimized geometry

Lattice parameters (Å, degrees): 4.137 4.137 6.830 72.37 72.37 60.00
Sites, in units of the cell vectors:
Cl1 0.500 0.500 0.500
Tm1 0.259 0.259 0.224
Tm2 0.741 0.741 0.776
Ge1 0.000 0.000 0.000

magnetization: 0.000 μB/f.u.
E: -4.96 eV per atom
formation energy (no corrections): -1.107 eV/atom


(5)
Compound: CoAuCl
Source: Alexandria
Functional: PBE
Structure: optimized geometry

Lattice parameters (Å, degrees): 3.208 3.208 12.385 89.68 89.82 60.01
Sites, in units of the cell vectors:
Cl1 0.834 0.340 0.146
Cl2 0.166 0.660 0.854
Co1 0.500 0.005 0.255
Co2 0.500 0.995 0.745
Au1 0.833 0.332 0.589
Au2 0.167 0.668 0.411

energy above the most stable polymorph in this dataset: 0.001 eV per atom
magnetization: 2.009 μB/f.u.
E: -4.14 eV per atom
formation energy (no corrections): -0.068 eV/atom


(6)
Compound: Pr3Ga3Ir2
Source: Alexandria
Functional: PBE
Structure: optimized geometry

Lattice parameters (Å, degrees): 4.283 5.872 15.491 90.00 90.00 111.39
Sites, in units of the cell vectors:
Ir1 0.782 0.563 0.610
Ir2 0.218 0.437 0.390
Ir3 0.218 0.437 0.110
Ir4 0.782 0.563 0.890
Ga1 0.642 0.285 0.750
Ga2 0.649 0.297 0.466
Ga3 0.351 0.703 0.534
Ga4 0.351 0.703 0.966
Ga5 0.649 0.297 0.034
Ga6 0.358 0.715 0.250
Pr1 0.069 0.137 0.892
Pr2 0.653 0.305 0.250
Pr3 0.069 0.137 0.608
Pr4 0.931 0.863 0.108
Pr5 0.931 0.863 0.392
Pr6 0.347 0.695 0.750

magnetization: 0.000 μB/f.u.
energy relative to the elements: -5.6 eV per formula unit
E: -5.85 eV per atom


(7)
Compound: K2Al
Source: Alexandria
Functional: PBE
Structure: optimized geometry

Lattice parameters (Å, degrees): 10.199 10.199 4.622 90.00 90.00 144.17
Sites, in units of the cell vectors:
K1 0.577 0.423 0.250
K2 0.184 0.816 0.250
K3 0.423 0.577 0.750
K4 0.816 0.184 0.750
Al1 0.028 0.972 0.750
Al2 0.972 0.028 0.250

energy above the most stable polymorph in this dataset: 0.020 eV per atom
magnetization: 0.000 μB/f.u.
energy relative to the elements: 0.5 eV per formula unit
E: -1.82 eV per atom


(8)
Compound: UH2N
Source: Alexandria
Functional: PBE
Structure: optimized geometry

Lattice parameters (Å, degrees): 3.220 3.220 4.046 90.00 90.00 90.00
Sites, in units of the cell vectors:
U1 0.500 0.500 0.000
H1 0.000 0.000 0.214
H2 0.000 0.000 0.786
N1 0.500 0.500 0.500

magnetization: 1.258 μB/f.u.
E: -6.42 eV per atom


(9)
Compound: Sc2BiHPd
Source: Alexandria
Functional: PBE
Structure: optimized geometry

Lattice parameters (Å, degrees): 4.590 4.590 4.076 90.00 90.00 90.00
Sites, in units of the cell vectors:
Sc1 0.000 0.500 0.000
Sc2 0.500 0.000 0.000
Bi1 0.500 0.500 0.500
H1 0.000 0.000 0.000
Pd1 0.000 0.000 0.500

magnetization: 1.068 μB/f.u.
E: -5.59 eV per atom


(10)
Compound: Nd5Hg2Ir2Pd
Source: Alexandria
Functional: PBE
Structure: optimized geometry

Lattice parameters (Å, degrees): 3.781 11.890 11.890 90.00 90.00 90.00
Sites, in units of the cell vectors:
Nd1 0.500 0.415 0.306
Nd2 0.500 0.085 0.806
Nd3 0.500 0.194 0.085
Nd4 0.500 0.000 0.500
Nd5 0.500 0.306 0.585
Nd6 0.500 0.915 0.194
Nd7 0.500 0.806 0.915
Nd8 0.500 0.500 0.000
Nd9 0.500 0.694 0.415
Nd10 0.500 0.585 0.694
Ir1 0.000 0.634 0.866
Ir2 0.000 0.366 0.134
Ir3 0.000 0.134 0.634
Ir4 0.000 0.866 0.366
Hg1 0.000 0.672 0.172
Hg2 0.000 0.328 0.828
Hg3 0.000 0.172 0.328
Hg4 0.000 0.828 0.672
Pd1 0.000 0.500 0.500
Pd2 0.000 0.000 0.000

magnetization: 0.000 μB/f.u.
energy relative to the elements: -5.2 eV per formula unit
E: -5.26 eV per atom


(11)
Compound: CaMnTcSe2
Source: Alexandria
Functional: PBE
Structure: optimized geometry

Lattice parameters (Å, degrees): 5.049 4.619 5.049 90.00 90.00 90.00
Sites, in units of the cell vectors:
Tc1 0.000 0.000 0.000
Ca1 0.500 0.500 0.500
Se1 0.000 0.000 0.500
Se2 0.500 0.000 0.000
Mn1 0.000 0.500 0.000

magnetization: 2.791 μB/f.u.
E: -5.77 eV per atom
formation energy (no corrections): -0.064 eV/atom


(12)
Compound: GdLuPd2
Source: Alexandria
Functional: PBE
Structure: optimized geometry

Lattice parameters (Å, degrees): 4.091 4.091 6.954 72.89 72.89 60.00
Sites, in units of the cell vectors:
Lu1 0.000 0.000 0.000
Pd1 0.745 0.745 0.765
Pd2 0.255 0.255 0.235
Gd1 0.500 0.500 0.500

energy above the most stable polymorph in this dataset: 0.148 eV per atom
magnetization: 7.267 μB/f.u.
energy relative to the elements: -3.0 eV per formula unit
E: -7.99 eV per atom


(13)
Compound: LiBeTeN2
Source: Alexandria
Functional: PBE
Structure: optimized geometry

Lattice parameters (Å, degrees): 3.562 3.562 5.405 90.00 90.00 90.00
Sites, in units of the cell vectors:
Te1 0.000 0.000 0.500
Li1 0.500 0.500 0.500
Be1 0.000 0.000 0.000
N1 0.000 0.500 0.000
N2 0.500 0.000 0.000

energy above the most stable polymorph in this dataset: 0.000 eV per atom
magnetization: 1.061 μB/f.u.
E: -4.12 eV per atom
formation energy (no corrections): 0.965 eV/atom


(14)
Compound: Tb8Co2Pd
Source: Alexandria
Functional: PBE
Structure: optimized geometry

Lattice parameters (Å, degrees): 5.978 7.421 7.421 112.98 99.35 99.35
Sites, in units of the cell vectors:
Co1 0.488 0.695 0.312
Co2 0.488 0.312 0.695
Tb1 0.387 0.662 0.928
Tb2 0.387 0.928 0.662
Tb3 0.987 0.779 0.225
Tb4 0.797 0.635 0.635
Tb5 0.585 0.079 0.345
Tb6 0.585 0.345 0.079
Tb7 0.987 0.225 0.779
Tb8 0.177 0.371 0.371
Pd1 0.133 0.003 0.003

magnetization: 0.000 μB/f.u.
energy relative to the elements: -1.7 eV per formula unit
E: -5.29 eV per atom


(15)
Compound: MnAl2Zn
Source: Alexandria
Functional: PBE
Structure: optimized geometry

Lattice parameters (Å, degrees): 4.456 4.456 2.861 90.00 90.00 90.00
Sites, in units of the cell vectors:
Al1 0.000 0.000 0.000
Al2 0.500 0.500 0.000
Zn1 0.000 0.500 0.500
Mn1 0.500 0.000 0.500

magnetization: 2.372 μB/f.u.
energy relative to the elements: -0.3 eV per formula unit
E: -4.55 eV per atom


(16)
Compound: CeTl2F11
Source: Alexandria
Functional: PBE
Structure: optimized geometry

Lattice parameters (Å, degrees): 8.267 8.636 8.636 73.65 61.40 61.40
Sites, in units of the cell vectors:
F1 0.425 0.789 0.941
F2 0.742 0.689 0.025
F3 0.393 0.687 0.313
F4 0.607 0.313 0.687
F5 0.925 0.441 0.289
F6 0.544 0.025 0.689
F7 0.107 0.187 0.813
F8 0.845 0.941 0.789
F9 0.956 0.811 0.475
F10 0.000 0.000 0.000
F11 0.258 0.311 0.975
F12 0.044 0.189 0.525
F13 0.345 0.289 0.441
F14 0.075 0.559 0.711
F15 0.456 0.975 0.311
F16 0.655 0.711 0.559
F17 0.575 0.211 0.059
F18 0.758 0.475 0.811
F19 0.893 0.813 0.187
F20 0.242 0.525 0.189
F21 0.155 0.059 0.211
F22 0.500 0.500 0.500
Tl1 0.336 0.307 0.693
Tl2 0.836 0.193 0.807
Tl3 0.164 0.807 0.193
Tl4 0.664 0.693 0.307
Ce1 0.250 0.250 0.250
Ce2 0.750 0.750 0.750

magnetization: 1.161 μB/f.u.
E: -4.54 eV per atom
formation energy (no corrections): -2.305 eV/atom


(17)
Compound: LiYTc3
Source: Alexandria
Functional: PBE
Structure: optimized geometry

Lattice parameters (Å, degrees): 4.894 4.894 4.894 90.00 90.00 90.00
Sites, in units of the cell vectors:
Tc1 0.000 0.000 0.500
Tc2 0.000 0.500 0.000
Tc3 0.500 0.000 0.000
Li1 0.500 0.500 0.500
Y1 0.000 0.000 0.000

energy above the most stable polymorph in this dataset: 1.273 eV per atom
magnetization: 4.008 μB/f.u.
energy relative to the elements: 11.2 eV per formula unit
E: -5.66 eV per atom


(18)
Compound: AlSi2N
Source: Alexandria
Functional: PBE
Structure: optimized geometry

Lattice parameters (Å, degrees): 4.231 4.231 4.231 60.00 60.00 60.00
Sites, in units of the cell vectors:
Si1 0.750 0.750 0.750
Si2 0.250 0.250 0.250
Al1 0.500 0.500 0.500
N1 0.000 0.000 0.000

energy above the most stable polymorph in this dataset: 1.064 eV per atom
magnetization: 0.000 μB/f.u.
E: -4.54 eV per atom
formation energy (no corrections): 1.190 eV/atom


(19)
Compound: HoHg2Ge
Source: Alexandria
Functional: PBE
Structure: optimized geometry

Lattice parameters (Å, degrees): 4.909 4.290 4.290 90.00 90.00 90.00
Sites, in units of the cell vectors:
Hg1 0.000 0.000 0.500
Hg2 0.000 0.500 0.000
Ge1 0.500 0.000 0.000
Ho1 0.500 0.500 0.500

energy above the most stable polymorph in this dataset: 0.000 eV per atom
magnetization: 0.000 μB/f.u.
energy relative to the elements: -1.5 eV per formula unit
E: -2.82 eV per atom


(20)
Compound: InP2Au
Source: Alexandria
Functional: PBE
Structure: optimized geometry

Lattice parameters (Å, degrees): 4.615 4.615 3.777 90.00 90.00 108.23
Sites, in units of the cell vectors:
Au1 0.500 0.000 0.500
P1 0.000 0.000 0.000
P2 0.500 0.500 0.000
In1 0.000 0.500 0.500

magnetization: 0.000 μB/f.u.
energy relative to the elements: 1.9 eV per formula unit
E: -3.74 eV per atom


(21)
Compound: Mg2FeRe
Source: Alexandria
Functional: PBE
Structure: optimized geometry

Lattice parameters (Å, degrees): 4.358 4.358 4.358 60.00 60.00 60.00
Sites, in units of the cell vectors:
Fe1 0.500 0.500 0.500
Re1 0.750 0.750 0.750
Mg1 0.250 0.250 0.250
Mg2 0.000 0.000 0.000

energy above the most stable polymorph in this dataset: 0.266 eV per atom
magnetization: 0.791 μB/f.u.
energy relative to the elements: 1.6 eV per formula unit
E: -5.63 eV per atom


(22)
Compound: LiTcPd2Au
Source: Alexandria
Functional: PBE
Structure: optimized geometry

Lattice parameters (Å, degrees): 5.021 4.259 5.021 90.00 90.00 90.00
Sites, in units of the cell vectors:
Li1 0.000 0.500 0.000
Tc1 0.500 0.500 0.500
Au1 0.000 0.000 0.000
Pd1 0.500 0.000 0.000
Pd2 0.000 0.000 0.500

magnetization: 4.455 μB/f.u.
energy relative to the elements: 5.1 eV per formula unit
E: -4.16 eV per atom


(23)
Compound: HoNiC
Source: Alexandria
Functional: PBE
Structure: optimized geometry

Lattice parameters (Å, degrees): 3.401 4.508 6.276 111.04 90.00 90.00
Sites, in units of the cell vectors:
Ni1 0.861 0.904 0.042
Ni2 0.861 0.109 0.453
C1 0.861 0.660 0.247
C2 0.861 0.353 0.247
Ho1 0.361 0.356 0.945
Ho2 0.361 0.657 0.549

energy above the most stable polymorph in this dataset: 0.000 eV per atom
magnetization: 0.000 μB/f.u.
energy relative to the elements: -0.6 eV per formula unit
E: -6.72 eV per atom


(24)
Compound: Ho3Er2Sc
Source: Alexandria
Functional: PBE
Structure: optimized geometry

Lattice parameters (Å, degrees): 3.412 8.849 12.634 78.27 82.24 78.88
Sites, in units of the cell vectors:
Er1 0.180 0.520 0.120
Er2 0.656 0.157 0.531
Er3 0.820 0.480 0.880
Er4 0.344 0.843 0.469
Ho1 0.257 0.192 0.294
Ho2 0.401 0.173 0.026
Ho3 0.599 0.827 0.974
Ho4 0.743 0.808 0.706
Ho5 0.962 0.858 0.218
Ho6 0.038 0.142 0.782
Sc1 0.562 0.517 0.359
Sc2 0.438 0.483 0.641

energy above the most stable polymorph in this dataset: 0.108 eV per atom
magnetization: 0.017 μB/f.u.
energy relative to the elements: 0.9 eV per formula unit
E: -4.72 eV per atom


(25)
Compound: Sr4Ca3Ac
Source: Alexandria
Functional: PBE
Structure: optimized geometry

Lattice parameters (Å, degrees): 4.065 7.091 13.593 95.35 98.60 90.00
Sites, in units of the cell vectors:
Sr1 0.122 0.870 0.245
Sr2 0.752 0.746 0.504
Sr3 0.248 0.254 0.496
Sr4 0.878 0.130 0.755
Ca1 0.000 0.500 0.000
Ca2 0.621 0.372 0.242
Ca3 0.379 0.628 0.758
Ac1 0.500 0.000 0.000

magnetization: 0.001 μB/f.u.
energy relative to the elements: 0.3 eV per formula unit
E: -2.06 eV per atom